# 1
IrW4, optimized geometry, DFT GGA-PBE; total magnetic moment = 0.00 μB/cell; E_tot = -12.009 eV per atom; calculated formation energy = 0.126 eV/atom; distance to the lowest polymorph of the same formula = 0 meV/atom
1.0
0.965 4.474 2.087
-3.671 -3.438 0.094
3.447 -2.656 2.523
W Ir
4 1
Cartesian
-1.909 -1.520 1.368 W
2.651 -0.100 3.336 W
-0.048 0.390 2.770 W
0.790 -2.010 1.935 W
0.000 0.000 0.000 Ir


# 2
ErMgPdPb, optimized geometry, DFT GGA-PBE; total magnetic moment = 0.00 μB/cell; E_tot = -4.257 eV per atom; calculated formation energy = -0.492 eV/atom
1.0
4.998 0.000 0.000
2.499 4.329 0.000
2.499 1.443 4.081
Mg Er Pd Pb
1 1 1 1
Cartesian
0.000 0.000 0.000 Mg
4.998 2.886 2.041 Er
7.497 4.329 3.061 Pd
2.499 1.443 1.020 Pb


Please write out number 2 again, unchanged.
ErMgPdPb, optimized geometry, DFT GGA-PBE; total magnetic moment = 0.00 μB/cell; E_tot = -4.257 eV per atom; calculated formation energy = -0.492 eV/atom
1.0
4.998 0.000 0.000
2.499 4.329 0.000
2.499 1.443 4.081
Mg Er Pd Pb
1 1 1 1
Cartesian
0.000 0.000 0.000 Mg
4.998 2.886 2.041 Er
7.497 4.329 3.061 Pd
2.499 1.443 1.020 Pb


What is the formula in the first record?
IrW4